Record 1
DFT (PBE-GGA) results for an optimized crystal structure of CsNa2PaO4.

uncorrected formation energy = -221 kJ/mol of atoms

CIF file:
```
data_CsNa2PaO4
_symmetry_space_group_name_H-M 'I -4 2 m'
_symmetry_Int_Tables_number 121
_symmetry_space_group_name_Hall 'I -4 2'
_cell_length_a 6.256
_cell_length_b 6.256
_cell_length_c 8.291
_cell_angle_alpha 90.00
_cell_angle_beta 90.00
_cell_angle_gamma 90.00
loop_
_atom_site_label
_atom_site_type_symbol
_atom_site_fract_x
_atom_site_fract_y
_atom_site_fract_z
Cs1 Cs 0.000 0.000 0.000
Na1 Na 0.000 0.500 0.250
Pa1 Pa 0.000 0.000 0.500
O1 O 0.189 0.189 0.353
```

Record 2
DFT (PBE-GGA) results for an optimized crystal structure of Cs2Na2PaO4.

uncorrected formation energy = -202 kJ/mol of atoms

CIF file:
```
data_Cs2Na2PaO4
_symmetry_space_group_name_H-M 'C 1 2/m 1'
_symmetry_Int_Tables_number 12
_cell_length_a 19.260
_cell_length_b 3.676
_cell_length_c 7.152
_cell_angle_alpha 90.00
_cell_angle_beta 91.16
_cell_angle_gamma 90.00
loop_
_symmetry_equiv_pos_as_xyz
'x,y,z'
'-x,-y,-z'
'-x,y,-z'
'x,-y,z'
'x+1/2,y+1/2,z'
'-x+1/2,-y+1/2,-z'
'-x+1/2,y+1/2,-z'
'x+1/2,-y+1/2,z'
loop_
_atom_site_label
_atom_site_type_symbol
_atom_site_fract_x
_atom_site_fract_y
_atom_site_fract_z
Cs1 Cs 0.113 0.000 0.455
Na1 Na 0.147 0.500 0.948
Pa1 Pa 0.000 0.000 0.000
O1 O 0.047 0.500 0.155
O2 O 0.088 0.000 0.839
```

Record 3
DFT (PBE-GGA) results for an optimized crystal structure of CsNa3PbO4.

uncorrected formation energy = -125 kJ/mol of atoms

CIF file:
```
data_CsNa3PbO4
_symmetry_space_group_name_H-M 'P -1'
_symmetry_Int_Tables_number 2
_cell_length_a 6.869
_cell_length_b 8.841
_cell_length_c 11.773
_cell_angle_alpha 82.87
_cell_angle_beta 76.52
_cell_angle_gamma 79.54
loop_
_symmetry_equiv_pos_as_xyz
'x,y,z'
'-x,-y,-z'
loop_
_atom_site_label
_atom_site_type_symbol
_atom_site_fract_x
_atom_site_fract_y
_atom_site_fract_z
Cs1 Cs 0.007 0.382 0.379
Cs2 Cs 0.037 0.138 0.125
Na1 Na 0.184 0.948 0.394
Na2 Na 0.186 0.447 0.897
Na3 Na 0.193 0.180 0.646
Na4 Na 0.430 0.045 0.876
Na5 Na 0.458 0.569 0.375
Na6 Na 0.474 0.322 0.115
Pb1 Pb 0.174 0.706 0.148
Pb2 Pb 0.441 0.797 0.632
O1 O 0.135 0.202 0.852
O2 O 0.169 0.711 0.327
O3 O 0.179 0.938 0.593
O4 O 0.185 0.488 0.090
O5 O 0.342 0.613 0.755
O6 O 0.369 0.842 0.032
O7 O 0.380 0.333 0.505
O8 O 0.390 0.111 0.273
```